4
Lattice="3.5920 0.0000 0.0000 0.0000 6.0375 0.1527 0.0000 3.3424 5.5652" Properties=species:S:1:pos:R:3 comment="BeTlBr2, optimized geometry, DFT PBE" vol_a3_per_atom=29.71 spacegroup=Pm e_form_raw_kj_per_mol_atoms=-45.63 polymorph_energy_ev_per_atom=0.000 total_energy_ev_per_atom=-2.833 pbc="T T T"
Be 1.7960 7.0354 5.0937
Tl 0.0000 5.6929 3.0676
Br 0.0000 8.3897 5.0452
Br 1.7960 2.3315 1.0884